Record 1
The following is a DFT calculation (meta-GGA SCAN) of BaSb2As at its PBEsol-relaxed geometry.

Structure (POSCAR):
```
BaSb2As
1.0
7.0035 -0.1333 0.0000
-2.7280 6.4518 0.0000
-2.1378 -3.1592 5.8751
Sb Ba As
4 2 2
direct
0.4501 0.3750 0.5751
0.6250 0.2001 0.0751
0.1250 0.5499 0.9249
0.7999 0.8750 0.4249
0.0000 0.0000 0.0000
0.2500 0.7500 0.5000
0.7500 0.2500 0.5000
0.5000 0.5000 0.0000
```

Computed properties:
Its space-group type is I-42d (122). The calculated total energy comes out at -271.29 eV/cell.

Record 2
The following is a DFT calculation (meta-GGA SCAN) of BaSb2As at its PBEsol-relaxed geometry.

Structure (POSCAR):
```
BaSb2As
1.0
3.9739 0.0000 0.0000
0.0000 5.6616 -0.0228
-1.9869 -2.1113 5.2465
Sb As Ba
2 1 1
direct
0.7068 0.6452 0.4135
0.2932 0.3548 0.5865
0.0000 0.5000 0.0000
0.5000 0.0000 0.0000
```

Computed properties:
Its space-group type is C2/m (12). The calculated total energy comes out at -136.49 eV/cell.

> The highest calculated total energy belongs to which entry?

number 2

> Look up the calculated total energy of the second one.

-136.49 eV/cell

> What is the calculated total energy in the first record?

-271.29 eV/cell